1.
ZrRuCl2 | GGA-PBE | relaxed

Cell lengths 3.260, 3.264, 6.290 Å; angles 90.00, 90.00, 90.00 degrees
Fractional coordinates of all 4 atoms:
1 Ru 0.500 0.500 0.250
2 Zr 0.500 0.500 0.750
3 Cl 0.000 0.000 0.986
4 Cl 0.000 0.000 0.514

Values from the calculation:
Formation energy without anion corrections   0.10 eV per atom
VASP energy   -5.279 eV per atom
Magnetization   0.35 μB/atom
Distance to the lowest polymorph of the same formula   16.14 kcal/mol of atoms


2.
ZrRu2Cl | GGA-PBE | relaxed

Cell lengths 5.696, 5.696, 5.696 Å; angles 142.74, 142.74, 53.71 degrees
Fractional coordinates of all 4 atoms:
1 Cl 0.750 0.250 0.500
2 Ru 0.000 0.000 0.000
3 Ru 0.500 0.500 0.000
4 Zr 0.250 0.750 0.500

Values from the calculation:
Formation energy without anion corrections   0.25 eV per atom
VASP energy   -6.990 eV per atom
Magnetization   0.00 μB/atom
Distance to the lowest polymorph of the same formula   9.06 kcal/mol of atoms


Question: Number 1 is which compound?
Answer: ZrRuCl2